La2HoCd2 | PBE | optimized geometry

The structure in POSCAR format:
```
La2HoCd2
1.0
3.767 0.000 0.000
0.000 5.426 0.000
-1.879 0.000 14.571
La Ho Cd
4 2 4
Cartesian
0.001 1.356 1.191
-0.001 1.356 6.811
1.889 4.069 7.760
1.886 4.069 13.380
0.006 4.069 4.368
1.882 1.356 10.202
0.003 4.069 10.575
0.001 1.356 12.781
1.887 4.069 1.789
1.885 1.356 3.996
```

## Properties
Formation energy from the elements, eV/atom: -0.2393
Calculated volume, Å³ per cell: 297.8
Polymorph energy (0 for the lowest one), meV per atom: 0
Space group: P2_1/m, No. 11

Cs4Sm3TiS8 | PBE | optimized geometry

The structure in POSCAR format:
```
Cs4Sm3TiS8
1.0
4.091 2.362 8.052
-4.091 2.362 8.052
0.000 -4.724 8.052
Cs Sm Ti S
4 3 1 8
Cartesian
0.000 0.000 0.000
-2.046 -1.181 8.052
-2.046 1.181 16.105
0.000 2.362 8.052
-4.091 0.000 12.079
-2.046 1.181 4.026
2.046 1.181 4.026
0.000 0.000 12.079
0.000 0.000 5.542
-1.903 -1.098 13.510
0.000 -2.197 10.647
-1.903 1.098 10.647
1.903 -1.098 13.510
0.000 2.197 13.510
1.903 1.098 10.647
0.000 0.000 18.615
```

## Properties
Raw formation energy, eV per atom: -1.63
Calculated volume, Å³ per cell: 466.9
Space group: R-3m, No. 166

DyTmGeAu | PBE | optimized geometry

The structure in POSCAR format:
```
DyTmGeAu
1.0
0.000 3.568 3.568
3.568 0.000 3.568
3.568 3.568 0.000
Dy Tm Ge Au
1 1 1 1
Cartesian
0.000 0.000 0.000
3.568 3.568 3.568
1.784 1.784 1.784
5.353 5.353 5.353
```

## Properties
Formation energy from the elements, eV/atom: -0.7452
Calculated volume, Å³ per cell: 90.9
Polymorph energy (0 for the lowest one), meV per atom: 116
Space group: F-43m, No. 216

CaBC2 | PBE | optimized geometry

The structure in POSCAR format:
```
CaBC2
1.0
-1.991 1.991 5.222
1.991 -1.991 5.222
1.991 1.991 -5.222
Ca B C
2 2 4
Cartesian
1.991 0.996 1.305
0.000 0.996 3.916
1.991 -0.996 3.916
0.000 2.987 1.305
0.000 0.000 0.000
0.996 0.996 -2.611
0.996 -0.996 2.611
0.000 1.991 0.000
```

## Properties
Formation energy from the elements, eV/atom: 0.4717
Calculated volume, Å³ per cell: 82.8
Space group: I4_1/amd, No. 141

TmLuOs | PBE | optimized geometry

The structure in POSCAR format:
```
TmLuOs
1.0
-1.675 1.675 6.354
1.675 -1.675 6.354
1.675 1.675 -6.354
Tm Lu Os
1 1 1
Cartesian
0.000 0.000 0.000
0.000 0.000 3.235
0.000 0.000 7.987
```

## Properties
Formation energy from the elements, eV/atom: -0.3226
Calculated volume, Å³ per cell: 71.3
Polymorph energy (0 for the lowest one), meV per atom: 0
Space group: I4mm, No. 107

Be2NiSb | PBE | optimized geometry

The structure in POSCAR format:
```
Be2NiSb
1.0
0.000 2.993 2.993
2.993 0.000 2.993
2.993 2.993 0.000
Be Ni Sb
2 1 1
Cartesian
0.000 0.000 0.000
1.497 1.497 1.497
2.993 2.993 2.993
4.490 4.490 4.490
```

## Properties
Raw formation energy, eV per atom: 0.45
Calculated volume, Å³ per cell: 53.6
Space group: F-43m, No. 216

Total DFT energy (no corrections) for every record listed, in sequence, given in eV per cell: -34.9 -84.6 -19.9 -50.5 -21.2 -15.5.